Material: LiLaRe2
Method: DFT, GGA-PBE
State: relaxed

Unit cell a=6.488 b=6.488 c=6.488 alpha=90.00 beta=90.00 gamma=90.00
Space group Fm-3m (No. 225)
Symmetry-distinct sites (fractional):
Li 0.000 0.000 0.000
La 0.000 0.000 0.500
Re 0.250 0.250 0.250

Properties
Crystal system: cubic
Energy above the most stable polymorph in this dataset, eV/atom: 0.785
ΔH_f (0 K), eV/atom: 1.022

***

Material: TbEuYTh
Method: DFT, GGA-PBE
State: relaxed

Unit cell a=8.145 b=8.145 c=8.145 alpha=90.00 beta=90.00 gamma=90.00
Space group F-43m (No. 216)
Symmetry-distinct sites (fractional):
Tb 0.000 0.000 0.000
Eu 0.000 0.000 0.500
Y 0.250 0.250 0.750
Th 0.250 0.250 0.250

Properties
Crystal system: cubic
ΔH_f (0 K), eV/atom: 0.231

***

Material: PuNb6O12
Method: DFT, GGA-PBE
State: relaxed

Unit cell a=10.0369 b=10.0369 c=7.7918 alpha=90.00 beta=90.00 gamma=120.00
Space group R-3m (No. 166, hexagonal axes)
Symmetry-distinct sites (fractional):
Pu 0.0000 0.0000 0.0000
Nb 0.0713 0.5357 0.3027
O 0.0000 0.3693 0.5000
O 0.0934 0.1868 0.3741

Properties
Crystal system: trigonal
Uncorrected formation energy, meV per atom: -2019

***

Material: PrSm4Cd3
Method: DFT, GGA-PBE
State: relaxed

Unit cell a=3.758 b=5.544 c=11.231 alpha=90.00 beta=90.00 gamma=90.00
Space group Pmmm (No. 47)
Symmetry-distinct sites (fractional):
Pr 0.000 0.000 0.000
Sm 0.500 0.000 0.266
Sm 0.500 0.500 0.000
Sm 0.500 0.500 0.500
Cd 0.000 0.000 0.500
Cd 0.000 0.500 0.249

Properties
Crystal system: orthorhombic
ΔH_f (0 K), eV/atom: -0.181

***

The records above yield density of states at the Fermi level values of 23.197; 29.172; 61.571; 11.682 states/eV per cell, respectively.
The records above yield density values of 12.60; 7.77; 7.28; 7.66 g/cm³, respectively.